Crystalline ZrAs2SeN at its relaxed geometry, computed with PBE.

Structure (POSCAR):
```
ZrAs2SeN
1.0
4.3356 0.0000 0.0000
0.0000 4.3356 0.0000
0.0000 0.0000 4.4614
Zr As Se N
1 2 1 1
direct
0.0000 0.0000 0.0000 Zr
0.0000 0.5000 0.5000 As
0.5000 0.0000 0.5000 As
0.5000 0.5000 0.0000 Se
0.5000 0.5000 0.5000 N
```

Computed properties:
- total energy (Ry per atom) = -0.4162
- energy above the lowest structure with this stoichiometry (meV/atom) = 0
- symmetry = P4/mmm (123)
- energy relative to the elements, uncorrected (eV per atom) = 0.269
- theoretical density (Mg/m³) = 6.6